(1)
A relaxed structure of B3Pb6ClO10, computed with PBE.

a = 7.2162 Å, b = 17.5041 Å, c = 11.2566 Å
α = 90.00°, β = 90.00°, γ = 90.00°
With the nearest neighbours (Å) after each atom.
Fractional positions:
B (0.2075, 0.2242, 0.2500)  3 O 1.37-1.44
B (0.2075, 0.2758, 0.7500)  3 O 1.37-1.44
B (0.2198, 0.0028, 0.5026)  3 O 1.37-1.40
B (0.2198, 0.0028, 0.9974)  3 O 1.37-1.40
B (0.2198, 0.4972, 0.0026)  3 O 1.37-1.40
B (0.2198, 0.4972, 0.4974)  3 O 1.37-1.40
B (0.7802, 0.5028, 0.5026)  3 O 1.37-1.40
B (0.7802, 0.5028, 0.9974)  3 O 1.37-1.40
B (0.7802, 0.9972, 0.0026)  3 O 1.37-1.40
B (0.7802, 0.9972, 0.4974)  3 O 1.37-1.40
B (0.7925, 0.7242, 0.2500)  3 O 1.37-1.44
B (0.7925, 0.7758, 0.7500)  3 O 1.37-1.44
Pb (0.0256, 0.6552, 0.0659)  3 O 2.31-2.38
Pb (0.0256, 0.6552, 0.4341)  3 O 2.31-2.38
Pb (0.0256, 0.8448, 0.5659)  3 O 2.31-2.38
Pb (0.0256, 0.8448, 0.9341)  3 O 2.31-2.38
Pb (0.0926, 0.0603, 0.7500)  3 O 2.38
Pb (0.0926, 0.4397, 0.2500)  3 O 2.38
Pb (0.4180, 0.0269, 0.2500)  3 O 2.32-2.37
Pb (0.4180, 0.4731, 0.7500)  3 O 2.32-2.37
Pb (0.4728, 0.1601, 0.5824)  3 O 2.29-2.40
Pb (0.4728, 0.1601, 0.9176)  3 O 2.29-2.40
Pb (0.4728, 0.3399, 0.0824)  3 O 2.29-2.40
Pb (0.4728, 0.3399, 0.4176)  3 O 2.29-2.40
Pb (0.5272, 0.6601, 0.5824)  3 O 2.29-2.40
Pb (0.5272, 0.6601, 0.9176)  3 O 2.29-2.40
Pb (0.5272, 0.8399, 0.0824)  3 O 2.29-2.40
Pb (0.5272, 0.8399, 0.4176)  3 O 2.29-2.40
Pb (0.5820, 0.5269, 0.2500)  3 O 2.32-2.37
Pb (0.5820, 0.9731, 0.7500)  3 O 2.32-2.37
Pb (0.9074, 0.5603, 0.7500)  3 O 2.38
Pb (0.9074, 0.9397, 0.2500)  3 O 2.38
Pb (0.9744, 0.1552, 0.0659)  3 O 2.31-2.38
Pb (0.9744, 0.1552, 0.4341)  3 O 2.31-2.38
Pb (0.9744, 0.3448, 0.5659)  3 O 2.31-2.38
Pb (0.9744, 0.3448, 0.9341)  3 O 2.31-2.38
Cl (0.2864, 0.7453, 0.2500)  4 Pb 3.05-3.21, 1 O 3.33
Cl (0.2864, 0.7547, 0.7500)  4 Pb 3.05-3.21, 1 O 3.33
Cl (0.7136, 0.2453, 0.2500)  4 Pb 3.05-3.21, 1 O 3.33
Cl (0.7136, 0.2547, 0.7500)  4 Pb 3.05-3.21, 1 O 3.33
O (0.1153, 0.1514, 0.2500)  1 B 1.44
O (0.1153, 0.3486, 0.7500)  1 B 1.44
O (0.1660, 0.5351, 0.1063)  1 B 1.40
O (0.1660, 0.5351, 0.3937)  1 B 1.40
O (0.1660, 0.9649, 0.6063)  1 B 1.40
O (0.1660, 0.9649, 0.8937)  1 B 1.40
O (0.2242, 0.0829, 0.5070)  1 B 1.40
O (0.2242, 0.0829, 0.9930)  1 B 1.40
O (0.2242, 0.4171, 0.0070)  1 B 1.40
O (0.2242, 0.4171, 0.4930)  1 B 1.40
O (0.2400, 0.2443, 0.6404)  1 B 1.37
O (0.2400, 0.2443, 0.8596)  1 B 1.37
O (0.2400, 0.2557, 0.1404)  1 B 1.37
O (0.2400, 0.2557, 0.3596)  1 B 1.37
O (0.2663, 0.5373, 0.5981)  1 B 1.37
O (0.2663, 0.5373, 0.9019)  1 B 1.37
O (0.2663, 0.9627, 0.0981)  1 B 1.37
O (0.2663, 0.9627, 0.4019)  1 B 1.37
O (0.4145, 0.0895, 0.7500)  4 Pb 2.29-2.38
O (0.4145, 0.4105, 0.2500)  4 Pb 2.29-2.38
O (0.5855, 0.5895, 0.7500)  4 Pb 2.29-2.38
O (0.5855, 0.9105, 0.2500)  4 Pb 2.29-2.38
O (0.7336, 0.0373, 0.5981)  1 B 1.37
O (0.7336, 0.0373, 0.9019)  1 B 1.37
O (0.7336, 0.4627, 0.0981)  1 B 1.37
O (0.7336, 0.4627, 0.4019)  1 B 1.37
O (0.7600, 0.7443, 0.6404)  1 B 1.37
O (0.7600, 0.7443, 0.8596)  1 B 1.37
O (0.7600, 0.7557, 0.1404)  1 B 1.37
O (0.7600, 0.7557, 0.3596)  1 B 1.37
O (0.7758, 0.5829, 0.5070)  1 B 1.40
O (0.7758, 0.5829, 0.9930)  1 B 1.40
O (0.7758, 0.9171, 0.0070)  1 B 1.40
O (0.7758, 0.9171, 0.4930)  1 B 1.40
O (0.8340, 0.0351, 0.1063)  1 B 1.40
O (0.8340, 0.0351, 0.3937)  1 B 1.40
O (0.8340, 0.4649, 0.6063)  1 B 1.40
O (0.8340, 0.4649, 0.8937)  1 B 1.40
O (0.8847, 0.6514, 0.2500)  1 B 1.44
O (0.8847, 0.8486, 0.7500)  1 B 1.44

Calculated values
Formation energy from raw total energies ... -1.68 eV per atom
Final energy ... -0.468 Ry per atom
Space group ... No. 57

---

(2)
A relaxed structure of Zr3TaSe, computed with PBE.

a = 5.1416 Å, b = 5.1416 Å, c = 5.1416 Å
α = 90.00°, β = 90.00°, γ = 90.00°
With the nearest neighbours (Å) after each atom.
Fractional positions:
Zr (0.0000, 0.0000, 0.5000)  2 Ta 2.57
Zr (0.0000, 0.5000, 0.0000)  2 Ta 2.57
Zr (0.5000, 0.0000, 0.0000)  2 Ta 2.57
Ta (0.0000, 0.0000, 0.0000)  6 Zr 2.57
Se (0.5000, 0.5000, 0.5000)  12 Zr 3.64

Calculated values
Formation energy from raw total energies ... 0.85 eV per atom
Final energy ... -0.540 Ry per atom
Offset from the most stable computed form ... 648 meV per atom
Space group ... No. 221

---

(3)
A relaxed structure of Cu6Sn, computed with PBE.

a = 5.5956 Å, b = 5.5956 Å, c = 5.5956 Å
α = 109.47°, β = 109.47°, γ = 109.47°
With the nearest neighbours (Å) after each atom.
Fractional positions:
Cu (0.2500, 0.5000, 0.7500)  4 Cu 2.28
Cu (0.2500, 0.7500, 0.5000)  4 Cu 2.28
Cu (0.5000, 0.2500, 0.7500)  4 Cu 2.28
Cu (0.5000, 0.7500, 0.2500)  4 Cu 2.28
Cu (0.7500, 0.2500, 0.5000)  4 Cu 2.28
Cu (0.7500, 0.5000, 0.2500)  4 Cu 2.28
Sn (0.0000, 0.0000, 0.0000)  24 Cu 3.61

Calculated values
Final energy ... -0.246 Ry per atom
Offset from the most stable computed form ... 641 meV per atom
Space group ... No. 229

---

(4)
A relaxed structure of BMoSe2Br, computed with PBE.

a = 4.8780 Å, b = 4.8780 Å, c = 5.3731 Å
α = 90.00°, β = 90.00°, γ = 90.00°
With the nearest neighbours (Å) after each atom.
Fractional positions:
B (0.0000, 0.0000, 0.0000)  4 Br 3.45, 8 Se 3.63
Mo (0.5000, 0.5000, 0.5000)  4 Se 2.44, 2 Br 2.69
Se (0.0000, 0.5000, 0.5000)  2 Mo 2.44
Se (0.5000, 0.0000, 0.5000)  2 Mo 2.44
Br (0.5000, 0.5000, 0.0000)  2 Mo 2.69

Calculated values
Formation energy from raw total energies ... 1.01 eV per atom
Final energy ... -0.310 Ry per atom
Offset from the most stable computed form ... 0 meV per atom
Space group ... No. 123

---

(5)
A relaxed structure of SrPrAs2Pd2, computed with PBE.

a = 4.3577 Å, b = 4.3577 Å, c = 8.4482 Å
α = 90.00°, β = 90.00°, γ = 120.00°
With the nearest neighbours (Å) after each atom.
Fractional positions:
Sr (0.0000, 0.0000, 0.0000)  6 Pd 3.34, 6 As 3.37
Pr (0.0000, 0.0000, 0.5000)  6 As 3.20, 6 Pd 3.23
As (0.3333, 0.6667, 0.2654)  3 Pd 2.52
As (0.6667, 0.3333, 0.7346)  3 Pd 2.52
Pd (0.3333, 0.6667, 0.7405)  3 As 2.52
Pd (0.6667, 0.3333, 0.2595)  3 As 2.52

Calculated values
Final energy ... -0.401 Ry per atom
Space group ... No. 164

---

(6)
A relaxed structure of CdIr3, computed with PBE.

a = 5.6275 Å, b = 5.6275 Å, c = 4.6015 Å
α = 90.00°, β = 90.00°, γ = 120.00°
With the nearest neighbours (Å) after each atom.
Fractional positions:
Cd (0.3333, 0.6667, 0.2500)  12 Ir 2.81-2.84
Cd (0.6667, 0.3333, 0.7500)  12 Ir 2.81-2.84
Ir (0.1632, 0.3263, 0.7500)  8 Ir 2.75-2.87, 4 Cd 2.81-2.84
Ir (0.1632, 0.8368, 0.7500)  8 Ir 2.75-2.87, 4 Cd 2.81-2.84
Ir (0.3263, 0.1632, 0.2500)  8 Ir 2.75-2.87, 4 Cd 2.81-2.84
Ir (0.6737, 0.8368, 0.7500)  8 Ir 2.75-2.87, 4 Cd 2.81-2.84
Ir (0.8368, 0.1632, 0.2500)  8 Ir 2.75-2.87, 4 Cd 2.81-2.84
Ir (0.8368, 0.6737, 0.2500)  8 Ir 2.75-2.87, 4 Cd 2.81-2.84

Calculated values
Final energy ... -0.479 Ry per atom
Space group ... No. 194

---

(7)
A relaxed structure of KAlCo2Br, computed with PBE.

a = 4.5765 Å, b = 4.5765 Å, c = 5.7333 Å
α = 90.00°, β = 90.00°, γ = 90.00°
With the nearest neighbours (Å) after each atom.
Fractional positions:
K (0.0000, 0.0000, 0.0000)  2 Br 2.87
Al (0.5000, 0.5000, 0.0000)  4 K 3.24
Co (0.0000, 0.5000, 0.5000)  2 Br 2.29
Co (0.5000, 0.0000, 0.5000)  2 Br 2.29
Br (0.0000, 0.0000, 0.5000)  4 Co 2.29

Calculated values
Formation energy from raw total energies ... 1.00 eV per atom
Final energy ... -0.231 Ry per atom
Space group ... No. 123

---

(8)
A relaxed structure of NaTl5Bi, computed with PBE.

a = 7.5333 Å, b = 7.5333 Å, c = 8.5292 Å
α = 105.11°, β = 105.11°, γ = 85.19°
With the nearest neighbours (Å) after each atom.
Fractional positions:
Na (0.0000, 0.5000, 0.0000)  8 Tl 3.37-3.76
Na (0.5000, 0.0000, 0.5000)  8 Tl 3.37-3.76
Tl (0.0644, 0.9356, 0.2500)  4 Tl 3.20-3.40, 1 Bi 3.26, 2 Na 3.41
Tl (0.1279, 0.3069, 0.5848)  5 Tl 3.20-3.50, 2 Bi 3.34-3.46, 1 Na 3.58
Tl (0.3069, 0.1279, 0.0848)  5 Tl 3.20-3.50, 2 Bi 3.34-3.46, 1 Na 3.58
Tl (0.3084, 0.5235, 0.3708)  5 Tl 3.20-3.50, 1 Bi 3.34, 1 Na 3.37
Tl (0.4765, 0.6916, 0.1292)  5 Tl 3.20-3.50, 1 Bi 3.34, 1 Na 3.37
Tl (0.5235, 0.3084, 0.8708)  5 Tl 3.20-3.50, 1 Bi 3.34, 1 Na 3.37
Tl (0.6916, 0.4765, 0.6292)  5 Tl 3.20-3.50, 1 Bi 3.34, 1 Na 3.37
Tl (0.6931, 0.8721, 0.9152)  5 Tl 3.20-3.50, 2 Bi 3.34-3.46, 1 Na 3.58
Tl (0.8721, 0.6931, 0.4152)  5 Tl 3.20-3.50, 2 Bi 3.34-3.46, 1 Na 3.58
Tl (0.9356, 0.0644, 0.7500)  4 Tl 3.20-3.40, 1 Bi 3.26, 2 Na 3.41
Bi (0.2555, 0.7445, 0.7500)  7 Tl 3.26-3.46
Bi (0.7445, 0.2555, 0.2500)  7 Tl 3.26-3.46

Calculated values
Final energy ... -0.179 Ry per atom
Offset from the most stable computed form ... 17 meV per atom
Space group ... No. 15

---

(9)
A relaxed structure of TiNi3P2, computed with PBE.

a = 7.5244 Å, b = 7.5244 Å, c = 8.8486 Å
α = 105.12°, β = 105.12°, γ = 27.05°
With the nearest neighbours (Å) after each atom.
Fractional positions:
Ti (0.0000, 0.0000, 0.0000)  6 P 2.68-2.82, 6 Ni 2.80-2.82
Ti (0.1486, 0.1486, 0.6960)  7 Ni 2.67-2.97, 6 P 2.67-2.92
Ti (0.8514, 0.8514, 0.3040)  7 Ni 2.67-2.97, 6 P 2.67-2.92
Ni (0.0376, 0.0376, 0.3302)  4 P 2.23-2.41, 2 Ni 2.47
Ni (0.2171, 0.2171, 0.3922)  4 P 2.14-2.28
Ni (0.3201, 0.3201, 0.0335)  4 P 2.19-2.28
Ni (0.3775, 0.3775, 0.7946)  4 P 2.24-2.37, 1 Ni 2.47
Ni (0.5000, 0.5000, 0.5000)  2 P 2.15
Ni (0.6225, 0.6225, 0.2054)  4 P 2.24-2.37, 1 Ni 2.47
Ni (0.6799, 0.6799, 0.9665)  4 P 2.19-2.28
Ni (0.7829, 0.7829, 0.6078)  4 P 2.14-2.28
Ni (0.9624, 0.9624, 0.6698)  4 P 2.23-2.41, 2 Ni 2.47
P (0.1979, 0.1979, 0.1362)  6 Ni 2.21-2.28
P (0.3605, 0.3605, 0.5349)  5 Ni 2.14-2.28
P (0.4601, 0.4601, 0.2022)  4 Ni 2.19-2.37
P (0.5399, 0.5399, 0.7978)  4 Ni 2.19-2.37
P (0.6395, 0.6395, 0.4651)  5 Ni 2.14-2.28
P (0.8021, 0.8021, 0.8638)  6 Ni 2.21-2.28

Calculated values
Final energy ... -0.495 Ry per atom
Space group ... No. 12

---

(10)
A relaxed structure of HoTmInOs, computed with PBE.

a = 4.9956 Å, b = 4.9956 Å, c = 4.9956 Å
α = 60.00°, β = 60.00°, γ = 60.00°
With the nearest neighbours (Å) after each atom.
Fractional positions:
Ho (0.0000, 0.0000, 0.0000)  4 In 3.06, 4 Os 3.06
Tm (0.5000, 0.5000, 0.5000)  4 Os 3.06, 4 In 3.06
In (0.2500, 0.2500, 0.2500)  4 Tm 3.06, 4 Ho 3.06
Os (0.7500, 0.7500, 0.7500)  4 Tm 3.06, 4 Ho 3.06

Calculated values
Final energy ... -0.443 Ry per atom
Offset from the most stable computed form ... 133 meV per atom
Space group ... No. 216

---

(11)
A relaxed structure of AlC2, computed with PBE.

a = 3.2424 Å, b = 3.2424 Å, c = 11.7477 Å
α = 90.00°, β = 90.00°, γ = 120.00°
With the nearest neighbours (Å) after each atom.
Fractional positions:
Al (0.0000, 0.0000, 0.0000)  6 C 2.17
Al (0.3333, 0.6667, 0.3686)  4 C 1.97-2.05
Al (0.6667, 0.3333, 0.6314)  4 C 1.97-2.05
C (0.0000, 0.0000, 0.4397)  1 C 1.42
C (0.0000, 0.0000, 0.5603)  1 C 1.42
C (0.3333, 0.6667, 0.0941)  1 C 1.26
C (0.3333, 0.6667, 0.2011)  1 C 1.26
C (0.6667, 0.3333, 0.7989)  1 C 1.26
C (0.6667, 0.3333, 0.9059)  1 C 1.26

Calculated values
Final energy ... -0.502 Ry per atom
Offset from the most stable computed form ... 282 meV per atom
Space group ... No. 164

---

(12)
A relaxed structure of K3LaSm2Te6, computed with PBE.

a = 8.0025 Å, b = 8.0025 Å, c = 8.6670 Å
α = 98.86°, β = 98.86°, γ = 120.01°
With the nearest neighbours (Å) after each atom.
Fractional positions:
K (0.0000, 0.0000, 0.0000)  6 Te 3.53-3.58
K (0.3346, 0.6654, 0.0000)  6 Te 3.54-3.58
K (0.6654, 0.3346, 0.0000)  6 Te 3.54-3.58
La (0.5000, 0.5000, 0.5000)  6 Te 3.24
Sm (0.1669, 0.8331, 0.5000)  6 Te 3.17-3.18
Sm (0.8331, 0.1669, 0.5000)  6 Te 3.17-3.18
Te (0.0891, 0.4287, 0.2863)  2 Sm 3.17-3.18, 1 La 3.24, 1 K 3.54
Te (0.2315, 0.2315, 0.7134)  2 Sm 3.18, 1 La 3.24, 1 K 3.53
Te (0.4287, 0.0891, 0.2863)  2 Sm 3.17-3.18, 1 La 3.24, 1 K 3.54
Te (0.5713, 0.9109, 0.7137)  2 Sm 3.17-3.18, 1 La 3.24, 1 K 3.54
Te (0.7685, 0.7685, 0.2866)  2 Sm 3.18, 1 La 3.24, 1 K 3.53
Te (0.9109, 0.5713, 0.7137)  2 Sm 3.17-3.18, 1 La 3.24, 1 K 3.54

Calculated values
Formation energy from raw total energies ... -1.44 eV per atom
Final energy ... -0.330 Ry per atom
Space group ... No. 12

---

> Which formula does entry 2 have?

Zr3TaSe